Model 1:
The following is a DFT calculation (GGA-PBE) of a geometry-optimized Pm2SmMg2 structure.

Results
Magnetization (Bohr magnetons per cell): 0.00
Crystal system: orthorhombic

a = 8.636 Å, b = 8.636 Å, c = 6.703 Å
α = 90.00°, β = 90.00°, γ = 142.85°
Sites, in units of the cell vectors:
Pm (0.023, 0.977, 0.500)
Pm (0.198, 0.802, 0.891)
Pm (0.802, 0.198, 0.391)
Pm (0.977, 0.023, 0.000)
Sm (0.408, 0.592, 0.664)
Sm (0.592, 0.408, 0.164)
Mg (0.207, 0.793, 0.388)
Mg (0.379, 0.621, 0.165)
Mg (0.621, 0.379, 0.665)
Mg (0.793, 0.207, 0.888)


Model 2:
The following is a DFT calculation (GGA-PBE) of a geometry-optimized Pm2SmMg2 structure.

Results
Magnetization (Bohr magnetons per cell): 0.00
Crystal system: monoclinic

a = 3.832 Å, b = 5.535 Å, c = 14.281 Å
α = 90.00°, β = 97.75°, γ = 90.00°
Sites, in units of the cell vectors:
Pm (0.045, 0.250, 0.089)
Pm (0.236, 0.250, 0.474)
Pm (0.764, 0.750, 0.526)
Pm (0.955, 0.750, 0.911)
Sm (0.151, 0.750, 0.299)
Sm (0.849, 0.250, 0.701)
Mg (0.360, 0.750, 0.720)
Mg (0.447, 0.250, 0.894)
Mg (0.553, 0.750, 0.106)
Mg (0.640, 0.250, 0.280)


Most stable of them? model 2.


Model 1:
The following is a DFT calculation (GGA-PBE) of a geometry-optimized Pm5Sm4Mg2 structure.

Results
Magnetization (Bohr magnetons per cell): 0.00
Crystal system: monoclinic

a = 8.816 Å, b = 3.499 Å, c = 11.590 Å
α = 90.00°, β = 94.07°, γ = 90.00°
Sites, in units of the cell vectors:
Pm (0.000, 0.000, 0.000)
Pm (0.069, 0.000, 0.295)
Pm (0.295, 0.000, 0.833)
Pm (0.705, 0.000, 0.167)
Pm (0.931, 0.000, 0.705)
Sm (0.218, 0.500, 0.548)
Sm (0.352, 0.500, 0.114)
Sm (0.648, 0.500, 0.886)
Sm (0.782, 0.500, 0.452)
Mg (0.447, 0.000, 0.368)
Mg (0.553, 0.000, 0.632)


Model 2:
The following is a DFT calculation (GGA-PBE) of a geometry-optimized Pm5Sm4Mg2 structure.

Results
Magnetization (Bohr magnetons per cell): 0.00
Crystal system: monoclinic

a = 11.511 Å, b = 11.511 Å, c = 8.863 Å
α = 93.39°, β = 93.39°, γ = 17.84°
Sites, in units of the cell vectors:
Pm (0.000, 0.000, 0.000)
Pm (0.317, 0.317, 0.529)
Pm (0.369, 0.369, 0.900)
Pm (0.631, 0.631, 0.100)
Pm (0.683, 0.683, 0.471)
Sm (0.211, 0.211, 0.821)
Sm (0.428, 0.428, 0.285)
Sm (0.572, 0.572, 0.715)
Sm (0.789, 0.789, 0.179)
Mg (0.055, 0.055, 0.376)
Mg (0.945, 0.945, 0.624)


Most stable of them? model 2.


Model 1:
The following is a DFT calculation (GGA-PBE) of a geometry-optimized Pm7Sm2Mg2 structure.

Results
Magnetization (Bohr magnetons per cell): 0.00
Crystal system: monoclinic

a = 7.693 Å, b = 7.693 Å, c = 6.813 Å
α = 104.36°, β = 104.36°, γ = 100.62°
Sites, in units of the cell vectors:
Pm (0.000, 0.000, 0.000)
Pm (0.073, 0.576, 0.800)
Pm (0.335, 0.335, 0.521)
Pm (0.424, 0.927, 0.200)
Pm (0.576, 0.073, 0.800)
Pm (0.665, 0.665, 0.479)
Pm (0.927, 0.424, 0.200)
Sm (0.140, 0.860, 0.500)
Sm (0.860, 0.140, 0.500)
Mg (0.345, 0.345, 0.030)
Mg (0.655, 0.655, 0.970)


Model 2:
The following is a DFT calculation (GGA-PBE) of a geometry-optimized Pm7Sm2Mg2 structure.

Results
Magnetization (Bohr magnetons per cell): 0.03
Crystal system: orthorhombic

a = 10.717 Å, b = 10.717 Å, c = 10.717 Å
α = 160.48°, β = 68.52°, γ = 115.07°
Sites, in units of the cell vectors:
Pm (0.000, 0.000, 0.000)
Pm (0.139, 0.796, 0.343)
Pm (0.445, 0.555, 0.890)
Pm (0.452, 0.796, 0.657)
Pm (0.633, 0.307, 0.325)
Pm (0.666, 0.555, 0.110)
Pm (0.982, 0.307, 0.675)
Sm (0.266, 0.052, 0.214)
Sm (0.838, 0.052, 0.786)
Mg (0.301, 0.301, 0.000)
Mg (0.747, 0.247, 0.500)


Most stable of them? model 2.


Model 1:
The following is a DFT calculation (GGA-PBE) of a geometry-optimized Pm8Sm2Mg structure.

Results
Magnetization (Bohr magnetons per cell): 0.00
Crystal system: orthorhombic

a = 9.830 Å, b = 9.830 Å, c = 9.830 Å
α = 146.63°, β = 133.41°, γ = 58.51°
Sites, in units of the cell vectors:
Pm (0.147, 0.366, 0.781)
Pm (0.174, 0.174, 0.000)
Pm (0.266, 0.000, 0.266)
Pm (0.415, 0.634, 0.781)
Pm (0.585, 0.366, 0.219)
Pm (0.734, 0.000, 0.734)
Pm (0.826, 0.826, 0.000)
Pm (0.853, 0.634, 0.219)
Sm (0.305, 0.805, 0.500)
Sm (0.695, 0.195, 0.500)
Mg (0.000, 0.500, 0.500)


Model 2:
The following is a DFT calculation (GGA-PBE) of a geometry-optimized Pm8Sm2Mg structure.

Results
Magnetization (Bohr magnetons per cell): 0.00
Crystal system: monoclinic

a = 9.543 Å, b = 9.543 Å, c = 8.075 Å
α = 104.81°, β = 104.81°, γ = 31.17°
Sites, in units of the cell vectors:
Pm (0.045, 0.045, 0.223)
Pm (0.136, 0.136, 0.680)
Pm (0.319, 0.319, 0.590)
Pm (0.410, 0.410, 0.051)
Pm (0.590, 0.590, 0.949)
Pm (0.681, 0.681, 0.410)
Pm (0.864, 0.864, 0.320)
Pm (0.955, 0.955, 0.777)
Sm (0.225, 0.225, 0.136)
Sm (0.775, 0.775, 0.864)
Mg (0.500, 0.500, 0.500)


Most stable of them? model 2.


Model 1:
The following is a DFT calculation (GGA-PBE) of a geometry-optimized Pm6Sm3Mg structure.

Results
Magnetization (Bohr magnetons per cell): 0.00
Crystal system: triclinic

a = 3.556 Å, b = 6.480 Å, c = 29.163 Å
α = 90.52°, β = 93.14°, γ = 90.59°
Sites, in units of the cell vectors:
Pm (0.031, 0.265, 0.103)
Pm (0.072, 0.590, 0.199)
Pm (0.114, 0.253, 0.405)
Pm (0.128, 0.916, 0.302)
Pm (0.276, 0.253, 0.597)
Pm (0.466, 0.233, 0.906)
Pm (0.534, 0.767, 0.094)
Pm (0.724, 0.747, 0.403)
Pm (0.872, 0.084, 0.698)
Pm (0.886, 0.747, 0.595)
Pm (0.928, 0.410, 0.801)
Pm (0.969, 0.735, 0.897)
Sm (0.000, 0.500, 0.000)
Sm (0.400, 0.578, 0.698)
Sm (0.422, 0.909, 0.799)
Sm (0.500, 0.000, 0.500)
Sm (0.578, 0.091, 0.201)
Sm (0.600, 0.422, 0.302)
Mg (0.000, 0.000, 0.000)
Mg (0.500, 0.500, 0.500)


Model 2:
The following is a DFT calculation (GGA-PBE) of a geometry-optimized Pm6Sm3Mg structure.

Results
Magnetization (Bohr magnetons per cell): 0.00
Crystal system: orthorhombic

a = 10.092 Å, b = 10.092 Å, c = 9.447 Å
α = 90.00°, β = 90.00°, γ = 135.57°
Sites, in units of the cell vectors:
Pm (0.044, 0.956, 0.500)
Pm (0.056, 0.447, 0.964)
Pm (0.175, 0.305, 0.694)
Pm (0.291, 0.709, 0.665)
Pm (0.305, 0.175, 0.194)
Pm (0.447, 0.056, 0.464)
Pm (0.553, 0.944, 0.964)
Pm (0.695, 0.825, 0.694)
Pm (0.709, 0.291, 0.165)
Pm (0.825, 0.695, 0.194)
Pm (0.944, 0.553, 0.464)
Pm (0.956, 0.044, 0.000)
Sm (0.128, 0.377, 0.326)
Sm (0.377, 0.128, 0.826)
Sm (0.459, 0.541, 0.993)
Sm (0.541, 0.459, 0.493)
Sm (0.623, 0.872, 0.326)
Sm (0.872, 0.623, 0.826)
Mg (0.217, 0.783, 0.184)
Mg (0.783, 0.217, 0.684)


Most stable of them? model 1.


Model 1:
The following is a DFT calculation (GGA-PBE) of a geometry-optimized Pm4Sm3Mg structure.

Results
Magnetization (Bohr magnetons per cell): 0.00
Crystal system: orthorhombic

a = 5.097 Å, b = 10.173 Å, c = 10.098 Å
α = 90.00°, β = 90.00°, γ = 90.00°
Sites, in units of the cell vectors:
Pm (0.250, 0.002, 0.131)
Pm (0.250, 0.250, 0.872)
Pm (0.250, 0.498, 0.131)
Pm (0.250, 0.750, 0.873)
Pm (0.750, 0.250, 0.127)
Pm (0.750, 0.502, 0.869)
Pm (0.750, 0.750, 0.128)
Pm (0.750, 0.998, 0.869)
Sm (0.250, 0.004, 0.619)
Sm (0.250, 0.496, 0.619)
Sm (0.250, 0.750, 0.377)
Sm (0.750, 0.250, 0.623)
Sm (0.750, 0.504, 0.381)
Sm (0.750, 0.996, 0.381)
Mg (0.250, 0.250, 0.377)
Mg (0.750, 0.750, 0.623)


Model 2:
The following is a DFT calculation (GGA-PBE) of a geometry-optimized Pm4Sm3Mg structure.

Results
Magnetization (Bohr magnetons per cell): 0.00
Crystal system: tetragonal

a = 4.182 Å, b = 4.182 Å, c = 15.018 Å
α = 90.00°, β = 90.00°, γ = 90.00°
Sites, in units of the cell vectors:
Pm (0.000, 0.000, 0.117)
Pm (0.000, 0.000, 0.377)
Pm (0.000, 0.000, 0.623)
Pm (0.000, 0.000, 0.883)
Sm (0.500, 0.500, 0.254)
Sm (0.500, 0.500, 0.500)
Sm (0.500, 0.500, 0.746)
Mg (0.500, 0.500, 0.000)


Most stable of them? model 1.


Model 1:
The following is a DFT calculation (GGA-PBE) of a geometry-optimized PmSm2Mg4 structure.

Results
Magnetization (Bohr magnetons per cell): 0.00
Crystal system: tetragonal

a = 8.336 Å, b = 8.336 Å, c = 8.336 Å
α = 141.99°, β = 141.99°, γ = 54.84°
Sites, in units of the cell vectors:
Pm (0.000, 0.000, 0.000)
Sm (0.253, 0.253, 0.000)
Sm (0.747, 0.747, 0.000)
Mg (0.117, 0.617, 0.500)
Mg (0.383, 0.883, 0.500)
Mg (0.617, 0.117, 0.500)
Mg (0.883, 0.383, 0.500)


Model 2:
The following is a DFT calculation (GGA-PBE) of a geometry-optimized PmSm2Mg4 structure.

Results
Magnetization (Bohr magnetons per cell): 0.00
Crystal system: orthorhombic

a = 7.225 Å, b = 7.225 Å, c = 5.544 Å
α = 90.00°, β = 90.00°, γ = 130.45°
Sites, in units of the cell vectors:
Pm (0.000, 0.000, 0.000)
Sm (0.365, 0.635, 0.500)
Sm (0.635, 0.365, 0.500)
Mg (0.117, 0.883, 0.500)
Mg (0.243, 0.757, 0.000)
Mg (0.757, 0.243, 0.000)
Mg (0.883, 0.117, 0.500)


Most stable of them? model 1.


Model 1:
The following is a DFT calculation (GGA-PBE) of a geometry-optimized Pm6SmMg structure.

Results
Magnetization (Bohr magnetons per cell): 0.00
Crystal system: tetragonal

a = 10.866 Å, b = 10.866 Å, c = 10.866 Å
α = 153.04°, β = 153.04°, γ = 38.50°
Sites, in units of the cell vectors:
Pm (0.123, 0.623, 0.500)
Pm (0.248, 0.248, 0.000)
Pm (0.377, 0.877, 0.500)
Pm (0.623, 0.123, 0.500)
Pm (0.752, 0.752, 0.000)
Pm (0.877, 0.377, 0.500)
Sm (0.000, 0.000, 0.000)
Mg (0.500, 0.500, 0.000)


Model 2:
The following is a DFT calculation (GGA-PBE) of a geometry-optimized Pm6SmMg structure.

Results
Magnetization (Bohr magnetons per cell): 1.49
Crystal system: monoclinic

a = 7.218 Å, b = 7.218 Å, c = 6.911 Å
α = 103.61°, β = 103.61°, γ = 121.41°
Sites, in units of the cell vectors:
Pm (0.012, 0.012, 0.255)
Pm (0.258, 0.710, 0.251)
Pm (0.290, 0.742, 0.749)
Pm (0.710, 0.258, 0.251)
Pm (0.742, 0.290, 0.749)
Pm (0.988, 0.988, 0.745)
Sm (0.500, 0.500, 0.000)
Mg (0.500, 0.500, 0.500)


Most stable of them? model 1.


Model 1:
The following is a DFT calculation (GGA-PBE) of a geometry-optimized Pm2Sm7Mg2 structure.

Results
Magnetization (Bohr magnetons per cell): 0.00
Crystal system: triclinic

a = 6.169 Å, b = 6.175 Å, c = 9.414 Å
α = 96.12°, β = 90.49°, γ = 99.33°
Sites, in units of the cell vectors:
Pm (0.042, 0.280, 0.095)
Pm (0.958, 0.720, 0.905)
Sm (0.141, 0.824, 0.277)
Sm (0.226, 0.360, 0.456)
Sm (0.412, 0.455, 0.818)
Sm (0.500, 0.000, 0.000)
Sm (0.588, 0.545, 0.182)
Sm (0.774, 0.640, 0.544)
Sm (0.859, 0.176, 0.723)
Mg (0.323, 0.906, 0.632)
Mg (0.677, 0.094, 0.368)


Model 2:
The following is a DFT calculation (GGA-PBE) of a geometry-optimized Pm2Sm7Mg2 structure.

Results
Magnetization (Bohr magnetons per cell): 0.00
Crystal system: monoclinic

a = 6.616 Å, b = 6.616 Å, c = 8.651 Å
α = 102.27°, β = 102.27°, γ = 95.44°
Sites, in units of the cell vectors:
Pm (0.179, 0.821, 0.000)
Pm (0.821, 0.179, 0.000)
Sm (0.027, 0.384, 0.678)
Sm (0.358, 0.358, 0.085)
Sm (0.384, 0.027, 0.678)
Sm (0.500, 0.500, 0.500)
Sm (0.616, 0.973, 0.322)
Sm (0.642, 0.642, 0.915)
Sm (0.973, 0.616, 0.322)
Mg (0.116, 0.116, 0.335)
Mg (0.884, 0.884, 0.665)


Most stable of them? model 1.


Model 1:
The following is a DFT calculation (GGA-PBE) of a geometry-optimized PmSmThMg structure.

Results
Magnetization (Bohr magnetons per cell): 0.00
Crystal system: tetragonal

a = 3.632 Å, b = 3.632 Å, c = 9.355 Å
α = 90.00°, β = 90.00°, γ = 90.00°
Sites, in units of the cell vectors:
Pm (0.000, 0.000, 0.000)
Sm (0.000, 0.000, 0.482)
Th (0.500, 0.500, 0.740)
Mg (0.500, 0.500, 0.242)


Model 2:
The following is a DFT calculation (GGA-PBE) of a geometry-optimized PmSmThMg structure.

Results
Magnetization (Bohr magnetons per cell): 0.01
Crystal system: cubic

a = 5.601 Å, b = 5.601 Å, c = 5.601 Å
α = 60.00°, β = 60.00°, γ = 60.00°
Sites, in units of the cell vectors:
Pm (0.000, 0.000, 0.000)
Sm (0.500, 0.500, 0.500)
Th (0.750, 0.750, 0.750)
Mg (0.250, 0.250, 0.250)


Most stable of them? model 1.


Model 1:
The following is a DFT calculation (GGA-PBE) of a geometry-optimized PmSmTmMg structure.

Results
Magnetization (Bohr magnetons per cell): 0.00
Crystal system: tetragonal

a = 3.639 Å, b = 3.639 Å, c = 9.184 Å
α = 90.00°, β = 90.00°, γ = 90.00°
Sites, in units of the cell vectors:
Pm (0.000, 0.000, 0.000)
Sm (0.500, 0.500, 0.724)
Tm (0.500, 0.500, 0.266)
Mg (0.000, 0.000, 0.488)


Model 2:
The following is a DFT calculation (GGA-PBE) of a geometry-optimized PmSmTmMg structure.

Results
Magnetization (Bohr magnetons per cell): 0.00
Crystal system: cubic

a = 5.550 Å, b = 5.550 Å, c = 5.550 Å
α = 60.00°, β = 60.00°, γ = 60.00°
Sites, in units of the cell vectors:
Pm (0.000, 0.000, 0.000)
Sm (0.500, 0.500, 0.500)
Tm (0.250, 0.250, 0.250)
Mg (0.750, 0.750, 0.750)


Most stable of them? model 1.